#a
Li3Ho | the Alexandria database | PBE | relaxed; spin magnetization = 0.000 μB per cell
1.0
3.379 0.000 0.000
0.000 3.379 0.000
0.000 0.000 16.179
Li Ho
6 2
Direct
0.250 0.250 0.054 Li
0.250 0.250 0.275 Li
0.250 0.250 0.833 Li
0.750 0.750 0.167 Li
0.750 0.750 0.725 Li
0.750 0.750 0.946 Li
0.250 0.250 0.577 Ho
0.750 0.750 0.423 Ho


#b
Li3Ho | the Alexandria database | PBE | relaxed; spin magnetization = 0.000 μB per cell
1.0
3.183 0.000 0.000
0.000 5.251 0.000
0.000 0.000 5.598
Li Ho
3 1
Direct
0.000 0.000 0.000 Li
0.000 0.500 0.296 Li
0.500 0.000 0.457 Li
0.500 0.500 0.798 Ho


Computed relative energies in units of eV/atom: #a 0.000; #b 0.121


#a
Li3Ho | the Alexandria database | PBE | relaxed; spin magnetization = 0.004 μB per cell
1.0
6.529 0.000 0.000
-3.264 5.654 0.000
0.000 0.000 5.028
Li Ho
6 2
Direct
0.153 0.305 0.250 Li
0.153 0.847 0.250 Li
0.305 0.153 0.750 Li
0.695 0.847 0.250 Li
0.847 0.153 0.750 Li
0.847 0.695 0.750 Li
0.333 0.667 0.750 Ho
0.667 0.333 0.250 Ho


#b
Li3Ho | the Alexandria database | PBE | relaxed; spin magnetization = 0.003 μB per cell
1.0
-2.199 2.199 4.719
2.199 -2.199 4.719
2.199 2.199 -4.719
Li Ho
3 1
Direct
0.000 0.000 0.000 Li
0.250 0.750 0.500 Li
0.750 0.250 0.500 Li
0.500 0.500 0.000 Ho


#c
Li3Ho | the Alexandria database | PBE | relaxed; spin magnetization = 1.162 μB per cell
1.0
4.587 0.000 0.000
0.000 4.587 0.000
0.000 0.000 4.587
Li Ho
3 1
Direct
0.000 0.000 0.500 Li
0.000 0.500 0.000 Li
0.500 0.000 0.000 Li
0.500 0.500 0.500 Ho


Computed relative energies in units of eV/atom: #a 0.012; #b 0.000; #c 0.061


#a
LiHoLu | the Alexandria database | PBE | relaxed; spin magnetization = 0.000 μB per cell
1.0
-1.793 1.793 6.187
1.793 -1.793 6.187
1.793 1.793 -6.187
Li Ho Lu
1 1 1
Direct
0.000 0.000 0.000 Li
0.658 0.658 0.000 Ho
0.348 0.348 0.000 Lu


#b
LiHoLu | the Alexandria database | PBE | relaxed; spin magnetization = 0.000 μB per cell
1.0
3.415 0.000 0.000
-1.708 2.958 0.000
0.000 0.000 8.230
Li Ho Lu
1 1 1
Direct
0.000 0.000 0.000 Li
0.333 0.667 0.665 Ho
0.667 0.333 0.328 Lu


Computed relative energies in units of eV/atom: #a 0.000; #b 0.023


#a
Li2Ho3Mg7 | the Alexandria database | PBE | relaxed; spin magnetization = 0.000 μB per cell
1.0
3.006 1.736 9.369
-3.006 1.736 9.369
0.000 -3.471 9.369
Li Ho Mg
2 3 7
Direct
0.166 0.166 0.166 Li
0.834 0.834 0.834 Li
0.360 0.360 0.360 Ho
0.500 0.500 0.500 Ho
0.640 0.640 0.640 Ho
0.000 0.000 0.000 Mg
0.083 0.083 0.576 Mg
0.083 0.576 0.083 Mg
0.424 0.917 0.917 Mg
0.576 0.083 0.083 Mg
0.917 0.424 0.917 Mg
0.917 0.917 0.424 Mg


#b
Li2Ho3Mg7 | the Alexandria database | PBE | relaxed; spin magnetization = 0.000 μB per cell
1.0
5.290 0.000 0.000
0.000 5.129 0.000
-0.039 0.000 11.326
Li Ho Mg
2 3 7
Direct
0.002 0.000 0.281 Li
0.998 0.000 0.719 Li
0.000 0.000 0.000 Ho
0.497 0.500 0.656 Ho
0.503 0.500 0.344 Ho
0.002 0.500 0.164 Mg
0.256 0.000 0.500 Mg
0.499 0.000 0.833 Mg
0.500 0.500 0.000 Mg
0.501 0.000 0.167 Mg
0.744 0.000 0.500 Mg
0.998 0.500 0.836 Mg


Computed relative energies in units of eV/atom: #a 0.000; #b 0.125


#a
LiHoMg3 | the Alexandria database | PBE | relaxed; spin magnetization = 0.000 μB per cell
1.0
8.849 -2.507 0.000
8.849 2.507 0.000
-0.569 0.000 5.380
Li Ho Mg
2 2 6
Direct
0.173 0.173 0.154 Li
0.827 0.827 0.846 Li
0.437 0.437 0.716 Ho
0.563 0.563 0.284 Ho
0.056 0.056 0.744 Mg
0.243 0.243 0.658 Mg
0.340 0.340 0.177 Mg
0.660 0.660 0.823 Mg
0.757 0.757 0.342 Mg
0.944 0.944 0.256 Mg


#b
LiHoMg3 | the Alexandria database | PBE | relaxed; spin magnetization = 0.000 μB per cell
1.0
4.890 0.000 0.000
0.000 4.890 0.000
0.000 0.000 4.890
Li Ho Mg
1 1 3
Direct
0.000 0.000 0.000 Li
0.500 0.500 0.500 Ho
0.000 0.000 0.500 Mg
0.000 0.500 0.000 Mg
0.500 0.000 0.000 Mg


#c
LiHoMg3 | the Alexandria database | PBE | relaxed; spin magnetization = 0.002 μB per cell
1.0
3.157 0.000 0.000
0.000 6.417 0.000
0.000 0.000 12.201
Li Ho Mg
2 2 6
Direct
0.250 0.250 0.022 Li
0.750 0.750 0.978 Li
0.250 0.750 0.408 Ho
0.750 0.250 0.592 Ho
0.250 0.010 0.812 Mg
0.250 0.250 0.358 Mg
0.250 0.490 0.812 Mg
0.750 0.510 0.188 Mg
0.750 0.750 0.642 Mg
0.750 0.990 0.188 Mg


Computed relative energies in units of eV/atom: #a 0.000; #b 0.143; #c 0.062


#a
LiHoMg | the Alexandria database | PBE | relaxed; spin magnetization = 0.000 μB per cell
1.0
3.486 0.000 0.000
0.000 3.484 0.000
-0.007 0.000 12.135
Li Ho Mg
2 2 2
Direct
0.000 0.000 0.000 Li
0.500 0.500 0.137 Li
0.001 0.000 0.670 Ho
0.501 0.500 0.467 Ho
0.002 0.000 0.278 Mg
0.502 0.500 0.859 Mg


#b
LiHoMg | the Alexandria database | PBE | relaxed; spin magnetization = 0.000 μB per cell
1.0
5.163 0.000 0.000
-2.582 4.472 0.000
0.000 0.000 3.206
Li Ho Mg
1 1 1
Direct
0.000 0.000 0.000 Li
0.667 0.333 0.502 Ho
0.333 0.667 0.002 Mg


Computed relative energies in units of eV/atom: #a 0.000; #b 0.064


#a
LiHo2Mg6 | the Alexandria database | PBE | relaxed; spin magnetization = 0.000 μB per cell
1.0
7.793 -4.499 0.000
7.793 4.499 0.000
-0.003 0.000 3.201
Li Ho Mg
1 2 6
Direct
0.000 0.000 0.000 Li
0.333 0.333 0.000 Ho
0.667 0.667 0.000 Ho
0.000 0.330 0.498 Mg
0.000 0.670 0.502 Mg
0.330 0.000 0.498 Mg
0.330 0.670 0.500 Mg
0.670 0.000 0.502 Mg
0.670 0.330 0.500 Mg


#b
LiHo2Mg6 | the Alexandria database | PBE | relaxed; spin magnetization = 0.000 μB per cell
1.0
4.164 -4.473 0.000
4.164 4.473 0.000
-0.577 0.000 6.118
Li Ho Mg
1 2 6
Direct
0.000 0.000 0.000 Li
0.335 0.335 0.336 Ho
0.665 0.665 0.664 Ho
0.167 0.500 0.834 Mg
0.167 0.833 0.500 Mg
0.500 0.167 0.834 Mg
0.500 0.833 0.166 Mg
0.833 0.167 0.500 Mg
0.833 0.500 0.166 Mg


Computed relative energies in units of eV/atom: #a 0.000; #b 0.046


#a
LiHo2Nb | the Alexandria database | PBE | relaxed; spin magnetization = 0.000 μB per cell
1.0
3.368 0.000 0.000
0.000 3.368 0.000
0.000 0.000 8.770
Li Ho Nb
1 2 1
Direct
0.000 0.000 0.000 Li
0.500 0.500 0.270 Ho
0.500 0.500 0.730 Ho
0.000 0.000 0.500 Nb


#b
LiHo2Nb | the Alexandria database | PBE | relaxed; spin magnetization = 0.001 μB per cell
1.0
1.581 0.913 11.485
-1.581 0.913 11.485
0.000 -1.826 11.485
Li Ho Nb
1 2 1
Direct
0.000 0.000 0.000 Li
0.416 0.416 0.416 Ho
0.584 0.584 0.584 Ho
0.500 0.500 0.500 Nb


Computed relative energies in units of eV/atom: #a 0.000; #b 0.347


#a
LiNd2Ho | the Alexandria database | PBE | relaxed; spin magnetization = 0.000 μB per cell
1.0
1.783 1.030 11.445
-1.783 1.030 11.445
0.000 -2.059 11.445
Li Nd Ho
1 2 1
Direct
0.000 0.000 0.000 Li
0.251 0.251 0.251 Nd
0.416 0.416 0.416 Nd
0.833 0.833 0.833 Ho


#b
LiNd2Ho | the Alexandria database | PBE | relaxed; spin magnetization = 0.000 μB per cell
1.0
0.000 3.951 3.951
3.951 0.000 3.951
3.951 3.951 0.000
Li Nd Ho
1 2 1
Direct
0.000 0.000 0.000 Li
0.250 0.250 0.250 Nd
0.750 0.750 0.750 Nd
0.500 0.500 0.500 Ho


#c
LiNd2Ho | the Alexandria database | PBE | relaxed; spin magnetization = 0.000 μB per cell
1.0
3.546 0.000 0.000
-1.773 3.071 0.000
0.000 0.000 11.900
Li Nd Ho
1 2 1
Direct
0.000 0.000 0.000 Li
0.000 0.000 0.725 Nd
0.667 0.333 0.240 Nd
0.333 0.667 0.485 Ho


#d
LiNd2Ho | the Alexandria database | PBE | relaxed; spin magnetization = 0.000 μB per cell
1.0
3.649 0.000 0.000
0.000 3.649 0.000
0.000 0.000 9.193
Li Nd Ho
1 2 1
Direct
0.000 0.000 0.000 Li
0.500 0.500 0.231 Nd
0.500 0.500 0.769 Nd
0.000 0.000 0.500 Ho


Computed relative energies in units of eV/atom: #a 0.006; #b 0.092; #c 0.051; #d 0.000


#a
LiNdHo2 | the Alexandria database | PBE | relaxed; spin magnetization = 0.000 μB per cell
1.0
3.652 0.000 0.000
0.000 3.652 0.000
0.000 0.000 8.748
Li Nd Ho
1 1 2
Direct
0.000 0.000 0.000 Li
0.000 0.000 0.500 Nd
0.500 0.500 0.215 Ho
0.500 0.500 0.785 Ho


#b
LiNdHo2 | the Alexandria database | PBE | relaxed; spin magnetization = 0.000 μB per cell
1.0
1.763 1.018 11.265
-1.763 1.018 11.265
0.000 -2.035 11.265
Li Nd Ho
1 1 2
Direct
0.000 0.000 0.000 Li
0.833 0.833 0.833 Nd
0.413 0.413 0.413 Ho
0.587 0.587 0.587 Ho


#c
LiNdHo2 | the Alexandria database | PBE | relaxed; spin magnetization = 0.000 μB per cell
1.0
1.759 1.015 11.242
-1.759 1.015 11.242
0.000 -2.031 11.242
Li Nd Ho
1 1 2
Direct
0.000 0.000 0.000 Li
0.500 0.500 0.500 Nd
0.253 0.253 0.253 Ho
0.747 0.747 0.747 Ho


Computed relative energies in units of eV/atom: #a 0.000; #b 0.046; #c 0.031


#a
Li2NdHo | the Alexandria database | PBE | relaxed; spin magnetization = 0.004 μB per cell
1.0
0.000 3.761 3.761
3.761 0.000 3.761
3.761 3.761 0.000
Li Nd Ho
2 1 1
Direct
0.250 0.250 0.250 Li
0.750 0.750 0.750 Li
0.000 0.000 0.000 Nd
0.500 0.500 0.500 Ho


#b
Li2NdHo | the Alexandria database | PBE | relaxed; spin magnetization = 0.000 μB per cell
1.0
1.674 0.966 11.923
-1.674 0.966 11.923
0.000 -1.933 11.923
Li Nd Ho
2 1 1
Direct
0.087 0.087 0.087 Li
0.913 0.913 0.913 Li
0.500 0.500 0.500 Nd
0.000 0.000 0.000 Ho


Computed relative energies in units of eV/atom: #a 0.000; #b 0.132